(1)
# Ac2LaPmO6

A relaxed structure of Ac2LaPmO6 (PBE-GGA, Alexandria).

Calculated values
Its energy is -8.09 eV per atom. For the density, the calculation gives 7.76 Mg/m³. As for the raw formation energy: -3327 meV/atom.

Cell and atoms, written as CIF:
```
data_Ac2LaPmO6
_chemical_formula_sum 'Ac4 La2 Pm2 O12'
_symmetry_space_group_name_H-M 'P 1 21/c 1'
_symmetry_Int_Tables_number 14
_cell_length_a 6.1731
_cell_length_b 6.3837
_cell_length_c 10.9568
_cell_angle_alpha 90.00
_cell_angle_beta 124.24
_cell_angle_gamma 90.00
loop_
_symmetry_equiv_pos_as_xyz
'x,y,z'
'-x,-y,-z'
'-x,y+1/2,-z+1/2'
'x,-y+1/2,z+1/2'
loop_
_atom_site_label
_atom_site_fract_x
_atom_site_fract_y
_atom_site_fract_z
_atom_site_occupancy
Ac1 0.2346 0.0481 0.2522 1
La1 0.5000 0.0000 0.0000 1
Pm1 0.0000 0.0000 0.5000 1
O1 0.1132 0.1986 0.9213 1
O2 0.2328 0.6919 0.9279 1
O3 0.3829 0.0708 0.7449 1
```


(2)
# AcLa2PtO8

A relaxed structure of AcLa2PtO8 (PBE-GGA, Alexandria).

Calculated values
Its energy is -7.19 eV per atom. For the density, the calculation gives 7.56 Mg/m³. As for the raw formation energy: -2220 meV/atom.

Cell and atoms, written as CIF:
```
data_AcLa2PtO8
_chemical_formula_sum 'Ac1 La2 Pt1 O8'
_symmetry_space_group_name_H-M 'P 1 2/m 1'
_symmetry_Int_Tables_number 10
_cell_length_a 4.4620
_cell_length_b 7.3149
_cell_length_c 5.5749
_cell_angle_alpha 90.00
_cell_angle_beta 91.65
_cell_angle_gamma 90.00
loop_
_symmetry_equiv_pos_as_xyz
'x,y,z'
'-x,-y,-z'
'-x,y,-z'
'x,-y,z'
loop_
_atom_site_label
_atom_site_fract_x
_atom_site_fract_y
_atom_site_fract_z
_atom_site_occupancy
Ac1 0.0000 0.0000 0.0000 1
La1 0.5000 0.2498 0.5000 1
Pt1 0.0000 0.5000 0.0000 1
O1 0.0340 0.2970 0.7509 1
O2 0.4188 0.5000 0.1099 1
O3 0.4869 0.0000 0.2574 1
```


(3)
# Ac2LaPtO8

A relaxed structure of Ac2LaPtO8 (PBE-GGA, Alexandria).

Calculated values
Its energy is -6.83 eV per atom. For the density, the calculation gives 8.42 Mg/m³. As for the raw formation energy: -1929 meV/atom.

Cell and atoms, written as CIF:
```
data_Ac2LaPtO8
_chemical_formula_sum 'Ac2 La1 Pt1 O8'
_symmetry_space_group_name_H-M 'P -3 m 1'
_symmetry_Int_Tables_number 164
_symmetry_space_group_name_Hall '-P 3 2"'
_cell_length_a 5.6187
_cell_length_b 5.6187
_cell_length_c 6.6038
_cell_angle_alpha 90.00
_cell_angle_beta 90.00
_cell_angle_gamma 120.00
loop_
_atom_site_label
_atom_site_fract_x
_atom_site_fract_y
_atom_site_fract_z
_atom_site_occupancy
Ac1 0.3333 0.6667 0.3599 1
La1 0.0000 0.0000 0.0000 1
Pt1 0.0000 0.0000 0.5000 1
O1 0.1624 0.3248 0.6828 1
O2 0.3333 0.6667 0.0305 1
```


(4)
# AcLa2PtO5

A relaxed structure of AcLa2PtO5 (PBE-GGA, Alexandria).

Calculated values
Its energy is -7.55 eV per atom. For the density, the calculation gives 9.16 Mg/m³. As for the raw formation energy: -2575 meV/atom.

Cell and atoms, written as CIF:
```
data_AcLa2PtO5
_chemical_formula_sum 'Ac2 La4 Pt2 O10'
_symmetry_space_group_name_H-M 'P 4/m b m'
_symmetry_Int_Tables_number 127
_symmetry_space_group_name_Hall '-P 4 2ab'
_cell_length_a 6.8419
_cell_length_b 6.8419
_cell_length_c 6.0383
_cell_angle_alpha 90.00
_cell_angle_beta 90.00
_cell_angle_gamma 90.00
loop_
_atom_site_label
_atom_site_fract_x
_atom_site_fract_y
_atom_site_fract_z
_atom_site_occupancy
Ac1 0.0000 0.0000 0.0000 1
La1 0.1655 0.3345 0.5000 1
Pt1 0.0000 0.5000 0.0000 1
O1 0.0000 0.0000 0.5000 1
O2 0.1643 0.6643 0.2418 1
```


(5)
# Ac2LaPtO5

A relaxed structure of Ac2LaPtO5 (PBE-GGA, Alexandria).

Calculated values
Its energy is -7.30 eV per atom. For the density, the calculation gives 9.67 Mg/m³. As for the raw formation energy: -2417 meV/atom.

Cell and atoms, written as CIF:
```
data_Ac2LaPtO5
_chemical_formula_sum 'Ac4 La2 Pt2 O10'
_symmetry_space_group_name_H-M 'P 4/m b m'
_symmetry_Int_Tables_number 127
_symmetry_space_group_name_Hall '-P 4 2ab'
_cell_length_a 7.1277
_cell_length_b 7.1277
_cell_length_c 5.8691
_cell_angle_alpha 90.00
_cell_angle_beta 90.00
_cell_angle_gamma 90.00
loop_
_atom_site_label
_atom_site_fract_x
_atom_site_fract_y
_atom_site_fract_z
_atom_site_occupancy
Ac1 0.1710 0.3290 0.0000 1
La1 0.0000 0.0000 0.5000 1
Pt1 0.0000 0.5000 0.5000 1
O1 0.0000 0.0000 0.0000 1
O2 0.1459 0.6459 0.2596 1
```


(6)
# AcLaPuO6

A relaxed structure of AcLaPuO6 (PBE-GGA, Alexandria).

Calculated values
Its energy is -8.95 eV per atom. For the density, the calculation gives 7.43 Mg/m³. As for the raw formation energy: -3047 meV/atom.

Cell and atoms, written as CIF:
```
data_AcLaPuO6
_chemical_formula_sum 'Ac2 La2 Pu2 O12'
_symmetry_space_group_name_H-M 'P -3 1 c'
_symmetry_Int_Tables_number 163
_symmetry_space_group_name_Hall '-P 3 2c'
_cell_length_a 6.0658
_cell_length_b 6.0658
_cell_length_c 9.9085
_cell_angle_alpha 90.00
_cell_angle_beta 90.00
_cell_angle_gamma 120.00
loop_
_atom_site_label
_atom_site_fract_x
_atom_site_fract_y
_atom_site_fract_z
_atom_site_occupancy
Ac1 0.0000 0.0000 0.0000 1
La1 0.3333 0.6667 0.2500 1
Pu1 0.3333 0.6667 0.7500 1
O1 0.0411 0.3766 0.6385 1
```


Question: The lowest energy belongs to which entry?
Answer: AcLaPuO6


Question: Which of these has the highest energy?
Answer: Ac2LaPtO8